## PrPu2PaAs4 (PBE-GGA)

Data for PrPu2PaAs4 after structural relaxation.

Computed properties:
DOS(E_F), states/eV per atom: 3.42
Formation energy from the elements, eV per atom: -1.15

abc: 7.1933 4.1776 7.2503
angles: 90.00 109.67 90.00
Fractional coordinates of all 8 atoms:
Pr1 0.0000 0.0000 0.0000
Pu1 0.5000 0.0000 0.5000
Pu2 0.5000 0.5000 0.0000
Pa1 0.0000 0.5000 0.5000
As1 0.2481 0.0000 0.7418
As2 0.2551 0.5000 0.2627
As3 0.7449 0.5000 0.7373
As4 0.7519 0.0000 0.2582


## InAs2P (PBE-GGA)

Data for InAs2P after structural relaxation.

Computed properties:
DOS(E_F), states/eV per atom: 0.21
Formation energy from the elements, eV per atom: 0.40

abc: 3.0598 3.0598 9.4098
angles: 90.00 90.00 112.48
Fractional coordinates of all 4 atoms:
In1 0.0000 0.0000 0.0000
As1 0.5000 0.5000 0.2967
As2 0.5000 0.5000 0.7033
P1 0.0000 0.0000 0.5000


## GeSbSe (PBE-GGA)

Data for GeSbSe after structural relaxation.

Computed properties:
Formation energy (no corrections), eV per atom: -0.08
DOS(E_F), states/eV per atom: 0.02

abc: 4.2285 6.2795 7.1744
angles: 88.43 89.99 70.35
Fractional coordinates of all 6 atoms:
Ge1 0.0536 0.3937 0.2972
Ge2 0.9464 0.6063 0.7028
Sb1 0.3866 0.7262 0.9176
Sb2 0.6134 0.2738 0.0824
Se1 0.1417 0.2154 0.6061
Se2 0.8583 0.7846 0.3939


## Li2MnN2 (PBE-GGA)

Data for Li2MnN2 after structural relaxation.

Computed properties:
Formation energy (no corrections), eV per atom: -0.36
DOS(E_F), states/eV per atom: 0.13

abc: 6.4420 6.4420 4.9663
angles: 93.13 93.13 132.45
Fractional coordinates of all 15 atoms:
Li1 0.0354 0.6663 0.1863
Li2 0.0912 0.0912 0.2820
Li3 0.3337 0.9646 0.8137
Li4 0.6663 0.0354 0.1863
Li5 0.9088 0.9088 0.7180
Li6 0.9646 0.3337 0.8137
Mn1 0.4053 0.5947 0.5000
Mn2 0.5000 0.5000 0.0000
Mn3 0.5947 0.4053 0.5000
N1 0.1568 0.4441 0.2091
N2 0.2686 0.2686 0.6632
N3 0.4441 0.1568 0.2091
N4 0.5559 0.8432 0.7909
N5 0.7314 0.7314 0.3368
N6 0.8432 0.5559 0.7909